No. 1
First-principles (PBE) data for a geometry-optimized Nd7Bi2Pb2 structure, as listed in the Alexandria database.

Cell lengths 7.4486, 7.4486, 7.3402 Å; angles 90.00, 90.00, 103.46 degrees
With the nearest neighbours (Å) after each atom.
Atoms (fractional coordinates):
1 Nd 0.0000 0.0000 0.0000  2 Bi 3.22
2 Nd 0.0000 0.5000 0.2849  2 Bi 3.13, 1 Nd 3.16, 2 Pb 3.38
3 Nd 0.0000 0.5000 0.7151  2 Bi 3.13, 1 Nd 3.16, 2 Pb 3.38
4 Nd 0.5000 0.0000 0.2849  2 Bi 3.13, 1 Nd 3.16, 2 Pb 3.38
5 Nd 0.5000 0.0000 0.7151  2 Bi 3.13, 1 Nd 3.16, 2 Pb 3.38
6 Nd 0.5000 0.5000 0.2625  2 Bi 3.26, 2 Pb 3.42, 1 Nd 3.49
7 Nd 0.5000 0.5000 0.7375  2 Bi 3.26, 2 Pb 3.42, 1 Nd 3.49
8 Bi 0.2755 0.7245 0.0000  7 Nd 3.13-3.26
9 Bi 0.7245 0.2755 0.0000  7 Nd 3.13-3.26
10 Pb 0.1811 0.1811 0.5000  1 Pb 3.34, 6 Nd 3.38-3.42
11 Pb 0.8189 0.8189 0.5000  1 Pb 3.34, 6 Nd 3.38-3.42

Properties
The space-group type is Cmmm, No. 65. The value obtained for the calculated formation energy is -280.5 meV/atom.

No. 2
First-principles (PBE) data for a geometry-optimized Nd2BiPb structure, as listed in the Alexandria database.

Cell lengths 4.3758, 4.3758, 25.2197 Å; angles 90.00, 90.00, 120.00 degrees
With the nearest neighbours (Å) after each atom.
Atoms (fractional coordinates):
1 Nd 0.0000 0.0000 0.0000  3 Bi 3.19, 3 Pb 3.34
2 Nd 0.0000 0.0000 0.1760  3 Bi 3.23, 3 Pb 3.38
3 Nd 0.3333 0.6667 0.6667  3 Bi 3.19, 3 Pb 3.34
4 Nd 0.3333 0.6667 0.8427  3 Bi 3.23, 3 Pb 3.38
5 Nd 0.6667 0.3333 0.3333  3 Bi 3.19, 3 Pb 3.34
6 Nd 0.6667 0.3333 0.5094  3 Bi 3.23, 3 Pb 3.38
7 Bi 0.0000 0.0000 0.5893  6 Nd 3.19-3.23
8 Bi 0.3333 0.6667 0.2559  6 Nd 3.19-3.23
9 Bi 0.6667 0.3333 0.9226  6 Nd 3.19-3.23
10 Pb 0.0000 0.0000 0.4202  6 Nd 3.34-3.38
11 Pb 0.3333 0.6667 0.0868  6 Nd 3.34-3.38
12 Pb 0.6667 0.3333 0.7535  6 Nd 3.34-3.38

Properties
The space-group type is R3m, No. 160. The offset from the most stable computed form comes out at 0.171 eV per atom. The value obtained for the calculated formation energy is -583.4 meV/atom.

No. 3
First-principles (PBE) data for a geometry-optimized Nd2Bi4Pb structure, as listed in the Alexandria database.

Cell lengths 9.2063, 10.1105, 6.8259 Å; angles 90.00, 132.20, 90.00 degrees
With the nearest neighbours (Å) after each atom.
Atoms (fractional coordinates):
1 Nd 0.2500 0.2500 0.0000  8 Bi 3.41-3.43, 2 Pb 3.58
2 Nd 0.2500 0.7500 0.0000  8 Bi 3.41-3.43, 2 Pb 3.58
3 Nd 0.7500 0.2500 0.0000  8 Bi 3.41-3.43, 2 Pb 3.58
4 Nd 0.7500 0.7500 0.0000  8 Bi 3.41-3.43, 2 Pb 3.58
5 Bi 0.0000 0.0000 0.0000  2 Pb 3.41, 4 Nd 3.42, 4 Bi 3.58
6 Bi 0.0000 0.5000 0.0000  4 Nd 3.42, 2 Pb 3.43, 4 Bi 3.58
7 Bi 0.2500 0.2500 0.5000  4 Nd 3.41-3.43, 2 Pb 3.42, 4 Bi 3.58
8 Bi 0.2500 0.7500 0.5000  4 Nd 3.41-3.43, 2 Pb 3.42, 4 Bi 3.58
9 Bi 0.5000 0.0000 0.0000  4 Nd 3.42, 2 Pb 3.43, 4 Bi 3.58
10 Bi 0.5000 0.5000 0.0000  2 Pb 3.41, 4 Nd 3.42, 4 Bi 3.58
11 Bi 0.7500 0.2500 0.5000  4 Nd 3.41-3.43, 2 Pb 3.42, 4 Bi 3.58
12 Bi 0.7500 0.7500 0.5000  4 Nd 3.41-3.43, 2 Pb 3.42, 4 Bi 3.58
13 Pb 0.0000 0.0000 0.5000  8 Bi 3.41-3.43, 4 Nd 3.58
14 Pb 0.5000 0.5000 0.5000  8 Bi 3.41-3.43, 4 Nd 3.58

Properties
The space-group type is C2/m, No. 12. The offset from the most stable computed form comes out at 0.055 eV per atom. The value obtained for the calculated formation energy is -440.6 meV/atom.

No. 4
First-principles (PBE) data for a geometry-optimized Nd8Bi5Pb structure, as listed in the Alexandria database.

Cell lengths 8.3985, 8.3985, 8.3985 Å; angles 109.50, 109.50, 109.41 degrees
With the nearest neighbours (Å) after each atom.
Atoms (fractional coordinates):
1 Nd 0.0166 0.1253 0.7494  1 Pb 3.22, 5 Bi 3.23-3.49
2 Nd 0.2300 0.4814 0.6065  5 Bi 3.23-3.49, 1 Pb 3.47
3 Nd 0.3759 0.2672 0.2506  1 Pb 3.22, 5 Bi 3.23-3.49
4 Nd 0.3765 0.7700 0.2514  5 Bi 3.23-3.49, 1 Pb 3.47
5 Nd 0.5186 0.1251 0.7486  5 Bi 3.23-3.49, 1 Pb 3.47
6 Nd 0.7328 0.9834 0.1087  1 Pb 3.22, 5 Bi 3.23-3.49
7 Nd 0.8749 0.6235 0.3935  5 Bi 3.23-3.49, 1 Pb 3.47
8 Nd 0.8747 0.6241 0.8913  1 Pb 3.22, 5 Bi 3.23-3.49
9 Bi 0.0010 0.3757 0.1253  8 Nd 3.23-3.49
10 Bi 0.1243 0.9990 0.3747  8 Nd 3.23-3.49
11 Bi 0.2504 0.8757 0.8747  8 Nd 3.23-3.49
12 Bi 0.5000 0.5000 0.0000  8 Nd 3.24-3.49
13 Bi 0.6243 0.7496 0.6253  8 Nd 3.23-3.49
14 Pb 0.7500 0.2500 0.5000  8 Nd 3.22-3.47

Properties
The space-group type is I-4, No. 82. The value obtained for the calculated formation energy is -792.2 meV/atom.

No. 5
First-principles (PBE) data for a geometry-optimized NdBi3Pb structure, as listed in the Alexandria database.

Cell lengths 10.4618, 6.2546, 10.4765 Å; angles 90.00, 90.00, 90.00 degrees
With the nearest neighbours (Å) after each atom.
Atoms (fractional coordinates):
1 Nd 0.1246 0.0058 0.2500  8 Bi 3.23-3.60
2 Nd 0.1246 0.4942 0.7500  8 Bi 3.23-3.60
3 Nd 0.8754 0.5058 0.2500  8 Bi 3.23-3.60
4 Nd 0.8754 0.9942 0.7500  8 Bi 3.23-3.60
5 Bi 0.0293 0.7500 0.0000  2 Bi 3.19, 4 Nd 3.23-3.43
6 Bi 0.0293 0.7500 0.5000  2 Bi 3.19, 4 Nd 3.23-3.43
7 Bi 0.2198 0.5019 0.2500  3 Nd 3.26-3.60, 3 Bi 3.35-3.64, 2 Pb 3.42
8 Bi 0.2198 0.9981 0.7500  3 Nd 3.26-3.60, 3 Bi 3.35-3.64, 2 Pb 3.42
9 Bi 0.4349 0.6003 0.7500  1 Nd 3.31, 4 Bi 3.35-3.67, 4 Pb 3.47-3.49
10 Bi 0.4349 0.8997 0.2500  1 Nd 3.31, 4 Bi 3.35-3.67, 4 Pb 3.47-3.49
11 Bi 0.5651 0.1003 0.7500  1 Nd 3.31, 4 Bi 3.35-3.67, 4 Pb 3.47-3.49
12 Bi 0.5651 0.3997 0.2500  1 Nd 3.31, 4 Bi 3.35-3.67, 4 Pb 3.47-3.49
13 Bi 0.7802 0.0019 0.2500  3 Nd 3.26-3.60, 3 Bi 3.35-3.64, 2 Pb 3.42
14 Bi 0.7802 0.4981 0.7500  3 Nd 3.26-3.60, 3 Bi 3.35-3.64, 2 Pb 3.42
15 Bi 0.9707 0.2500 0.0000  2 Bi 3.19, 4 Nd 3.23-3.43
16 Bi 0.9707 0.2500 0.5000  2 Bi 3.19, 4 Nd 3.23-3.43
17 Pb 0.3667 0.2500 0.0000  6 Bi 3.42-3.49
18 Pb 0.3667 0.2500 0.5000  6 Bi 3.42-3.49
19 Pb 0.6333 0.7500 0.0000  6 Bi 3.42-3.49
20 Pb 0.6333 0.7500 0.5000  6 Bi 3.42-3.49

Properties
The space-group type is Pbcm, No. 57. The value obtained for the calculated formation energy is -249.7 meV/atom.

No. 6
First-principles (PBE) data for a geometry-optimized NdBi2Pd7Pb2 structure, as listed in the Alexandria database.

Cell lengths 4.1070, 4.1070, 16.0258 Å; angles 93.94, 93.94, 89.80 degrees
With the nearest neighbours (Å) after each atom.
Atoms (fractional coordinates):
1 Nd 0.0000 0.0000 0.0000  12 Pd 2.90-2.99
2 Bi 0.4320 0.4320 0.7484  5 Pd 2.76-2.84
3 Bi 0.5680 0.5680 0.2516  5 Pd 2.76-2.84
4 Pd 0.0375 0.5376 0.1363  2 Bi 2.76, 6 Pd 2.90-2.99, 2 Nd 2.99
5 Pd 0.3720 0.3720 0.5705  1 Pd 2.83, 1 Bi 2.84, 5 Pb 2.88-2.96
6 Pd 0.4624 0.9625 0.8637  2 Bi 2.76, 6 Pd 2.90-2.99, 2 Nd 2.99
7 Pd 0.5000 0.5000 0.0000  4 Nd 2.90-2.91, 8 Pd 2.99
8 Pd 0.5376 0.0375 0.1363  2 Bi 2.76, 6 Pd 2.90-2.99, 2 Nd 2.99
9 Pd 0.6280 0.6280 0.4295  1 Pd 2.83, 1 Bi 2.84, 5 Pb 2.88-2.96
10 Pd 0.9625 0.4624 0.8637  2 Bi 2.76, 6 Pd 2.90-2.99, 2 Nd 2.99
11 Pb 0.1257 0.1257 0.4056  5 Pd 2.88-2.96
12 Pb 0.8743 0.8743 0.5944  5 Pd 2.88-2.96

Properties
The space-group type is C2/m, No. 12. The value obtained for the calculated formation energy is -355.5 meV/atom.

No. 7
First-principles (PBE) data for a geometry-optimized PmNdBiPb structure, as listed in the Alexandria database.

Cell lengths 7.9309, 7.9309, 7.9309 Å; angles 90.00, 90.00, 90.00 degrees
With the nearest neighbours (Å) after each atom.
Atoms (fractional coordinates):
1 Pm 0.0000 0.0000 0.0000  4 Pb 3.43, 4 Bi 3.43
2 Pm 0.0000 0.5000 0.5000  4 Pb 3.43, 4 Bi 3.43
3 Pm 0.5000 0.0000 0.5000  4 Pb 3.43, 4 Bi 3.43
4 Pm 0.5000 0.5000 0.0000  4 Pb 3.43, 4 Bi 3.43
5 Nd 0.0000 0.0000 0.5000  4 Bi 3.43, 4 Pb 3.43
6 Nd 0.0000 0.5000 0.0000  4 Bi 3.43, 4 Pb 3.43
7 Nd 0.5000 0.0000 0.0000  4 Bi 3.43, 4 Pb 3.43
8 Nd 0.5000 0.5000 0.5000  4 Bi 3.43, 4 Pb 3.43
9 Bi 0.2500 0.2500 0.7500  4 Nd 3.43, 4 Pm 3.43
10 Bi 0.2500 0.7500 0.2500  4 Nd 3.43, 4 Pm 3.43
11 Bi 0.7500 0.2500 0.2500  4 Nd 3.43, 4 Pm 3.43
12 Bi 0.7500 0.7500 0.7500  4 Nd 3.43, 4 Pm 3.43
13 Pb 0.2500 0.2500 0.2500  4 Nd 3.43, 4 Pm 3.43
14 Pb 0.2500 0.7500 0.7500  4 Nd 3.43, 4 Pm 3.43
15 Pb 0.7500 0.2500 0.7500  4 Nd 3.43, 4 Pm 3.43
16 Pb 0.7500 0.7500 0.2500  4 Nd 3.43, 4 Pm 3.43

Properties
The space-group type is F-43m, No. 216. The offset from the most stable computed form comes out at 0.147 eV per atom. The value obtained for the calculated formation energy is -526.5 meV/atom.

No. 8
First-principles (PBE) data for a geometry-optimized PmNdBiPb structure, as listed in the Alexandria database.

Cell lengths 4.5816, 4.5816, 6.4691 Å; angles 90.00, 90.00, 90.00 degrees
With the nearest neighbours (Å) after each atom.
Atoms (fractional coordinates):
1 Pm 0.0000 0.0000 0.0000  2 Bi 3.23, 4 Pb 3.24
2 Nd 0.5000 0.5000 0.5000  2 Pb 3.23, 4 Bi 3.24
3 Bi 0.0000 0.0000 0.5000  2 Pm 3.23, 4 Nd 3.24
4 Pb 0.5000 0.5000 0.0000  2 Nd 3.23, 4 Pm 3.24

Properties
The space-group type is P4/mmm, No. 123. The offset from the most stable computed form comes out at 0.000 eV per atom. The value obtained for the calculated formation energy is -673.6 meV/atom.

No. 9
First-principles (PBE) data for a geometry-optimized NdPuBiPb structure, as listed in the Alexandria database.

Cell lengths 7.8480, 7.8480, 7.8480 Å; angles 90.00, 90.00, 90.00 degrees
With the nearest neighbours (Å) after each atom.
Atoms (fractional coordinates):
1 Nd 0.0000 0.0000 0.0000  4 Bi 3.40, 4 Pb 3.40
2 Nd 0.0000 0.5000 0.5000  4 Bi 3.40, 4 Pb 3.40
3 Nd 0.5000 0.0000 0.5000  4 Bi 3.40, 4 Pb 3.40
4 Nd 0.5000 0.5000 0.0000  4 Bi 3.40, 4 Pb 3.40
5 Pu 0.0000 0.0000 0.5000  4 Pb 3.40, 4 Bi 3.40
6 Pu 0.0000 0.5000 0.0000  4 Pb 3.40, 4 Bi 3.40
7 Pu 0.5000 0.0000 0.0000  4 Pb 3.40, 4 Bi 3.40
8 Pu 0.5000 0.5000 0.5000  4 Pb 3.40, 4 Bi 3.40
9 Bi 0.2500 0.2500 0.7500  4 Nd 3.40, 4 Pu 3.40
10 Bi 0.2500 0.7500 0.2500  4 Nd 3.40, 4 Pu 3.40
11 Bi 0.7500 0.2500 0.2500  4 Nd 3.40, 4 Pu 3.40
12 Bi 0.7500 0.7500 0.7500  4 Nd 3.40, 4 Pu 3.40
13 Pb 0.2500 0.2500 0.2500  4 Nd 3.40, 4 Pu 3.40
14 Pb 0.2500 0.7500 0.7500  4 Nd 3.40, 4 Pu 3.40
15 Pb 0.7500 0.2500 0.7500  4 Nd 3.40, 4 Pu 3.40
16 Pb 0.7500 0.7500 0.2500  4 Nd 3.40, 4 Pu 3.40

Properties
The space-group type is F-43m, No. 216. The value obtained for the calculated formation energy is -342.2 meV/atom.

No. 10
First-principles (PBE) data for a geometry-optimized Nd4Bi2PbSe structure, as listed in the Alexandria database.

Cell lengths 7.8239, 4.5037, 7.8401 Å; angles 90.00, 109.33, 90.00 degrees
With the nearest neighbours (Å) after each atom.
Atoms (fractional coordinates):
1 Nd 0.2443 0.0000 0.2402  2 Se 3.14, 1 Pb 3.17, 3 Bi 3.22-3.24
2 Nd 0.2468 0.5000 0.7571  1 Se 3.13, 2 Pb 3.18, 3 Bi 3.21-3.26
3 Nd 0.7532 0.5000 0.2429  1 Se 3.13, 2 Pb 3.18, 3 Bi 3.21-3.26
4 Nd 0.7557 0.0000 0.7598  2 Se 3.14, 1 Pb 3.17, 3 Bi 3.22-3.24
5 Bi 0.0000 0.0000 0.5000  6 Nd 3.21-3.22
6 Bi 0.5000 0.5000 0.5000  6 Nd 3.24-3.26
7 Pb 0.5000 0.0000 0.0000  6 Nd 3.17-3.18
8 Se 0.0000 0.5000 0.0000  6 Nd 3.13-3.14

Properties
The space-group type is P2/m, No. 10. As for the formation energy (no corrections): -1059 meV/atom.